An optimized crystal structure of DyHgBr. Source: Alexandria via LeMat-Bulk, functional PBE-GGA.

Results
- D(E_F): 0.412 states/eV/atom
- Raw formation energy: -0.85 eV per atom

POSCAR file:
```
DyHgBr
1.0
3.849 -0.282 0.138
0.482 7.169 1.236
0.065 4.473 7.379
Hg Br Dy
2 2 2
direct
0.750 0.658 0.832
0.250 0.342 0.168
0.750 0.744 0.262
0.250 0.256 0.738
0.750 0.212 0.505
0.250 0.788 0.495
```